# 1
Computed, not measured: crystalline RbIn2FeGe at its relaxed geometry at the GGA-PBE level of DFT.

Values from the calculation:
For the mass density, the calculation gives 5.92 g/cm3. The value obtained for the energy of formation from the pure elements is 5.3 kJ/mol of atoms. Its density of states at the Fermi level is 2.196 states/eV per cell.

Lattice parameters (Å, degrees): 5.1439 5.1439 4.6987 90.00 90.00 90.00
Sites, in units of the cell vectors:
Ge  0.0000  0.0000  0.5000
Fe  0.0000  0.0000  0.0000
Rb  0.5000  0.5000  0.5000
In  0.0000  0.5000  0.0000
In  0.5000  0.0000  0.0000

# 2
Computed, not measured: crystalline InFeSn2Ge at its relaxed geometry at the GGA-PBE level of DFT.

Values from the calculation:
For the mass density, the calculation gives 6.92 g/cm3. The value obtained for the energy of formation from the pure elements is 15.4 kJ/mol of atoms. Its density of states at the Fermi level is 3.991 states/eV per cell.

Lattice parameters (Å, degrees): 5.0638 5.0638 4.4986 90.00 90.00 90.00
Sites, in units of the cell vectors:
Fe  0.0000  0.0000  0.0000
Ge  0.0000  0.0000  0.5000
Sn  0.0000  0.5000  0.0000
Sn  0.5000  0.0000  0.0000
In  0.5000  0.5000  0.5000